Record 1
Compound: ScH4Os
Source: Alexandria
Functional: PBE
Structure: optimized geometry

Cell lengths 3.6462, 3.6462, 8.0189 Å; angles 90.00, 90.00, 112.18 degrees
Atoms (fractional coordinates):
Sc 0.0000 0.0000 0.0000
Sc 0.0000 0.0000 0.5000
H 0.1581 0.3317 0.2500
H 0.3317 0.1581 0.7500
H 0.3433 0.6567 0.5382
H 0.3433 0.6567 0.9618
H 0.6567 0.3433 0.0382
H 0.6567 0.3433 0.4618
H 0.6683 0.8419 0.2500
H 0.8419 0.6683 0.7500
Os 0.3396 0.6604 0.7500
Os 0.6604 0.3396 0.2500

Space-group type = No. 63
Offset from the most stable computed form = 0.000 eV/atom
N(E_F) = 2.46 states/eV/cell

***

Record 2
Compound: Sc2HOs
Source: Alexandria
Functional: PBE
Structure: optimized geometry

Cell lengths 4.4607, 4.4607, 4.4607 Å; angles 60.00, 60.00, 60.00 degrees
Atoms (fractional coordinates):
Sc 0.2500 0.2500 0.2500
Sc 0.7500 0.7500 0.7500
H 0.0000 0.0000 0.0000
Os 0.5000 0.5000 0.5000

Space-group type = No. 225
Offset from the most stable computed form = 0.360 eV/atom
N(E_F) = 4.00 states/eV/cell

***

Record 3
Compound: ScH6Os
Source: Alexandria
Functional: PBE
Structure: optimized geometry

Cell lengths 4.4017, 4.4017, 4.8998 Å; angles 115.04, 115.04, 43.25 degrees
Atoms (fractional coordinates):
Sc 0.0000 0.0000 0.0000
H 0.1099 0.1099 0.5183
H 0.3196 0.3196 0.1358
H 0.3750 0.3750 0.7045
H 0.6250 0.6250 0.2955
H 0.6804 0.6804 0.8642
H 0.8901 0.8901 0.4817
Os 0.5000 0.5000 0.5000

Space-group type = No. 12
N(E_F) = 2.24 states/eV/cell

***

no.,calculated total energy (eV per atom)
1,-5.396
2,-6.808
3,-4.822